Compound: Zr3AlBi
Source: Alexandria via LeMat-Bulk
Functional: PBE
Structure: optimized geometry

extended XYZ file:
```
5
Lattice="5.3575 0.0000 0.0000 0.0000 5.3575 0.0000 0.0000 0.0000 5.3575" Properties=species:S:1:pos:R:3 pbc="T T T"
Bi 0.0000 0.0000 0.0000
Al 2.6787 2.6787 2.6787
Zr 2.6787 0.0000 0.0000
Zr 0.0000 0.0000 2.6787
Zr 0.0000 2.6787 0.0000
```

Output
SG	Pm-3m (221)
uncorrected energy	-28.044	eV/cell
crystal system	cubic
polymorph energy (0 for the lowest one)	704	meV per atom
formation energy	1.045	eV/atom
volume	153.8	Å³/cell



Compound: La8PmHo6
Source: Alexandria via LeMat-Bulk
Functional: PBE
Structure: optimized geometry

extended XYZ file:
```
15
Lattice="6.6682 0.0000 0.0000 0.0000 8.2062 -4.7379 0.0000 0.0000 9.4758" Properties=species:S:1:pos:R:3 pbc="T T T"
La 1.1336 7.8242 2.1758
La 5.5347 2.0278 7.8639
La 5.8608 2.7354 4.7379
La 0.8074 5.4708 0.0000
La 5.5347 5.7964 3.7877
La 1.1336 2.4098 0.9501
La 5.5347 0.3821 2.5621
La 1.1336 6.1785 -3.1260
Ho 4.3654 7.3898 1.0367
Ho 2.3029 4.5927 3.5944
Ho 4.3654 3.6135 1.1435
Ho 2.3029 0.8164 3.7011
Ho 4.3654 5.4092 -2.1802
Ho 2.3029 2.7971 6.9181
Pm 3.3341 0.0000 0.0000
```

Output
SG	P-3 (147)
uncorrected energy	-69.106	eV/cell
crystal system	trigonal
formation energy	0.169	eV/atom
volume	518.5	Å³/cell



Compound: Ti2BeCuH
Source: Alexandria via LeMat-Bulk
Functional: PBE
Structure: optimized geometry

extended XYZ file:
```
5
Lattice="-1.7573 -3.3016 -1.3605 1.8886 -2.1462 2.7689 -2.7352 0.5208 2.2692" Properties=species:S:1:pos:R:3 pbc="T T T"
Ti 0.9443 -1.0731 1.3845
Ti -0.8787 -1.6508 -0.6802
H 0.0000 0.0000 0.0000
Be -1.3020 -2.4635 1.8388
Cu -1.3676 0.2604 1.1346
```

Output
SG	P4/mmm (123)
uncorrected energy	-27.557	eV/cell
crystal system	tetragonal
polymorph energy (0 for the lowest one)	0	meV per atom
volume	56.9	Å³/cell



Compound: Na3PmF6
Source: Alexandria via LeMat-Bulk
Functional: PBE
Structure: optimized geometry

extended XYZ file:
```
20
Lattice="-1.1263 -5.3918 2.2601 0.9244 -2.4518 -5.3887 8.3539 -1.2092 1.9832" Properties=species:S:1:pos:R:3 pbc="T T T"
F 4.4255 -4.8707 1.6564
F 1.8474 -4.7584 -0.1769
F 1.8401 -7.1167 -2.4365
F 3.7264 -4.1822 -2.8018
F 0.9080 -1.8254 -1.0262
F 7.2440 -7.2275 -0.1192
F 4.2688 -6.7717 -0.6970
F 0.7901 -3.8294 -3.6059
F 6.3046 -4.2945 -0.9684
F 3.8831 -2.2812 -0.4484
F 7.3619 -5.2235 2.4606
F 6.3119 -1.9362 1.2912
Pm 0.0000 0.0000 0.0000
Pm 4.0760 -4.5264 -0.5727
Na 4.1769 -0.6046 0.9916
Na 1.3545 -3.0309 1.3138
Na 6.7975 -6.0220 -2.4592
Na -0.1010 -3.9218 -1.5643
Na 5.3479 -7.3383 1.2225
Na 2.8041 -1.7146 -2.3679
```

Output
SG	P2_1/c (14)
uncorrected energy	-104.729	eV/cell
crystal system	monoclinic
polymorph energy (0 for the lowest one)	0	meV per atom
volume	309.2	Å³/cell



Among the records above, which one has the highest volume?
La8PmHo6